# MgCd3Ga

A relaxed MgCd3Ga crystal (PBE-GGA, Alexandria).

abc: 8.5716 8.5716 5.3010
angles: 90.00 90.00 145.26
Fractional coordinates of all 10 atoms:
Cd: 0.2453 0.7547 0.1417
Cd: 0.9511 0.0489 0.5910
Cd: 0.4462 0.5538 0.2284
Cd: 0.0489 0.9511 0.0910
Cd: 0.7547 0.2453 0.6417
Cd: 0.5538 0.4462 0.7284
Ga: 0.6491 0.3509 0.2090
Ga: 0.3509 0.6491 0.7090
Mg: 0.1490 0.8510 0.6059
Mg: 0.8510 0.1490 0.1059

total energy	-14.8	eV/cell
energy relative to the elements	-5	meV/atom
total moment	0.00	μB/f.u.

=====

# MgCd5Ga

A relaxed MgCd5Ga crystal (PBE-GGA, Alexandria).

abc: 6.0075 7.7021 7.7021
angles: 93.65 107.10 107.10
Fractional coordinates of all 14 atoms:
Cd: 0.9802 0.8355 0.6109
Cd: 0.0198 0.1645 0.3891
Cd: 0.1260 0.7208 0.2826
Cd: 0.2500 0.3906 0.1094
Cd: 0.7500 0.6094 0.8906
Cd: 0.6260 0.7826 0.2208
Cd: 0.8740 0.2792 0.7174
Cd: 0.4802 0.1109 0.3355
Cd: 0.5198 0.8891 0.6645
Cd: 0.3740 0.2174 0.7792
Mg: 0.0000 0.0000 0.0000
Mg: 0.5000 0.5000 0.5000
Ga: 0.7500 0.3526 0.1474
Ga: 0.2500 0.6474 0.8526

total energy	-17.9	eV/cell
energy relative to the elements	36	meV/atom
total moment	0.00	μB/f.u.

=====

# Mg12CdGa3

A relaxed Mg12CdGa3 crystal (PBE-GGA, Alexandria).

abc: 4.3688 4.3688 17.5491
angles: 90.00 90.00 90.00
Fractional coordinates of all 16 atoms:
Mg: 0.5000 0.0000 0.3761
Mg: 0.5000 0.5000 0.0000
Mg: 0.0000 0.5000 0.6239
Mg: 0.5000 0.0000 0.6239
Mg: 0.5000 0.5000 0.2526
Mg: 0.5000 0.5000 0.7474
Mg: 0.0000 0.5000 0.8707
Mg: 0.0000 0.5000 0.3761
Mg: 0.0000 0.5000 0.1293
Mg: 0.5000 0.5000 0.5000
Mg: 0.5000 0.0000 0.1293
Mg: 0.5000 0.0000 0.8707
Ga: 0.0000 0.0000 0.5000
Ga: 0.0000 0.0000 0.7472
Ga: 0.0000 0.0000 0.2528
Cd: 0.0000 0.0000 0.0000

total energy	-30.4	eV/cell
energy relative to the elements	-78	meV/atom
total moment	0.00	μB/f.u.

=====

# Mg8Cd3Ga3

A relaxed Mg8Cd3Ga3 crystal (PBE-GGA, Alexandria).

abc: 4.4261 8.8351 8.8351
angles: 73.07 76.91 76.91
Fractional coordinates of all 14 atoms:
Mg: 0.8837 0.7542 0.4720
Mg: 0.8837 0.4720 0.7542
Mg: 0.6646 0.9959 0.6724
Mg: 0.1163 0.5280 0.2458
Mg: 0.3354 0.0041 0.3276
Mg: 0.6646 0.6724 0.9959
Mg: 0.3354 0.3276 0.0041
Mg: 0.1163 0.2458 0.5280
Cd: 0.2708 0.7273 0.7273
Cd: 0.5000 0.5000 0.5000
Cd: 0.7292 0.2727 0.2727
Ga: 0.0000 0.1362 0.8638
Ga: 0.0000 0.8638 0.1362
Ga: 0.5000 0.0000 0.0000

total energy	-24.3	eV/cell
energy relative to the elements	18	meV/atom
total moment	0.00	μB/f.u.

=====

# Mg2CdGa

A relaxed Mg2CdGa crystal (PBE-GGA, Alexandria).

abc: 7.9035 7.9035 6.3336
angles: 51.40 51.40 90.00
Fractional coordinates of all 8 atoms:
Ga: 0.2500 0.7500 0.5000
Ga: 0.5000 0.5000 0.0000
Mg: 0.8750 0.8579 0.7500
Mg: 0.1421 0.6250 0.2500
Mg: 0.6079 0.1250 0.2500
Mg: 0.3750 0.3921 0.7500
Cd: 0.7500 0.2500 0.5000
Cd: 0.0000 0.0000 0.0000

total energy	-13.4	eV/cell
energy relative to the elements	104	meV/atom
total moment	0.00	μB/f.u.

=====

# MgMnCdGa

A relaxed MgMnCdGa crystal (PBE-GGA, Alexandria).

abc: 4.6648 4.6648 4.6648
angles: 60.00 60.00 60.00
Fractional coordinates of all 4 atoms:
Mg: 0.5000 0.5000 0.5000
Ga: 0.2500 0.2500 0.2500
Cd: 0.7500 0.7500 0.7500
Mn: 0.0000 0.0000 0.0000

total energy	-14.4	eV/cell
energy relative to the elements	77	meV/atom
total moment	3.66	μB/f.u.

=====

What is the total moment in the second record?
0.00 μB/f.u.